# 1
Below is a crystal of CaPRh2 relaxed with PBEsol, with properties calculated at the meta-GGA SCAN level.

Size of the total moment   0.00 μB per formula unit
Fermi-level density of states   0.339 states/eV per atom
Volume   16.80 Å³ per atom
Formation energy from the elements   -46 kJ per mole of atoms

Lattice parameters (Å, degrees): 3.0058 3.4277 6.6425 90.00 100.95 90.00
Space group P2/m (No. 10)
Symmetry-distinct sites (fractional):
Ca: 0.0000 0.0000 0.0000 [1 per cell]
P: 0.0000 0.0000 0.5000 [1 per cell]
Rh: 0.3479 0.5000 0.6825 [2 per cell]

***

# 2
Below is a crystal of Ca2P4Ru relaxed with PBEsol, with properties calculated at the meta-GGA SCAN level.

Size of the total moment   0.00 μB per formula unit
Volume   18.80 Å³ per atom
Formation energy from the elements   -90 kJ per mole of atoms

Lattice parameters (Å, degrees): 7.5000 5.9284 5.9224 90.00 92.05 90.00
Space group P2_1/c (No. 14)
Symmetry-distinct sites (fractional):
Ca: 0.1716 0.0020 0.2706 [4 per cell]
P: 0.2133 0.9996 0.7703 [4 per cell]
P: 0.4613 0.6353 0.1300 [4 per cell]
Ru: 0.5000 0.0000 0.0000 [2 per cell]

***

# 3
Below is a crystal of Ca2P4Ru relaxed with PBEsol, with properties calculated at the meta-GGA SCAN level.

Size of the total moment   0.00 μB per formula unit
Volume   18.80 Å³ per atom
Formation energy from the elements   -90 kJ per mole of atoms

Lattice parameters (Å, degrees): 5.9240 14.9963 5.9248 90.00 90.00 90.00
Space group Pbca (No. 61)
Symmetry-distinct sites (fractional):
Ca: 0.2155 0.1641 0.0003 [8 per cell]
P: 0.1318 0.5194 0.3650 [8 per cell]
P: 0.2173 0.1433 0.5012 [8 per cell]
Ru: 0.0000 0.0000 0.5000 [4 per cell]

***

# 4
Below is a crystal of CaPRu2 relaxed with PBEsol, with properties calculated at the meta-GGA SCAN level.

Size of the total moment   0.00 μB per formula unit
Fermi-level density of states   0.410 states/eV per atom
Volume   16.19 Å³ per atom
Formation energy from the elements   -10 kJ per mole of atoms

Lattice parameters (Å, degrees): 3.0277 3.6474 6.0421 90.00 103.98 90.00
Space group P2/m (No. 10)
Symmetry-distinct sites (fractional):
Ca: 0.0000 0.0000 0.0000 [1 per cell]
P: 0.0000 0.0000 0.5000 [1 per cell]
Ru: 0.3414 0.5000 0.6911 [2 per cell]

***

# 5
Below is a crystal of CaP2Ru relaxed with PBEsol, with properties calculated at the meta-GGA SCAN level.

Size of the total moment   0.00 μB per formula unit
Fermi-level density of states   0.907 states/eV per atom
Volume   15.52 Å³ per atom
Formation energy from the elements   0 kJ per mole of atoms

Lattice parameters (Å, degrees): 4.3172 4.3172 3.3317 90.00 90.00 90.00
Space group P4/mmm (No. 123)
Symmetry-distinct sites (fractional):
Ca: 0.0000 0.0000 0.0000 [1 per cell]
P: 0.0000 0.5000 0.5000 [2 per cell]
Ru: 0.5000 0.5000 0.0000 [1 per cell]

***

# 6
Below is a crystal of CaP2RuS relaxed with PBEsol, with properties calculated at the meta-GGA SCAN level.

Formation energy (no corrections)   -7.8 kcal/mol of atoms
Size of the total moment   0.00 μB per formula unit
Fermi-level density of states   0.596 states/eV per atom
Volume   20.51 Å³ per atom

Lattice parameters (Å, degrees): 4.3952 4.3952 5.3087 90.00 90.00 90.00
Space group P4/mmm (No. 123)
Symmetry-distinct sites (fractional):
Ca: 0.0000 0.0000 0.0000 [1 per cell]
P: 0.0000 0.5000 0.5000 [2 per cell]
Ru: 0.5000 0.5000 0.5000 [1 per cell]
S: 0.5000 0.5000 0.0000 [1 per cell]

***

# 7
Below is a crystal of CaPS3 relaxed with PBEsol, with properties calculated at the meta-GGA SCAN level.

Formation energy (no corrections)   -28.8 kcal/mol of atoms
Size of the total moment   0.00 μB per formula unit
Fermi-level density of states   0.000 states/eV per atom
Volume   21.16 Å³ per atom

Lattice parameters (Å, degrees): 6.4805 7.2204 10.9335 90.00 124.20 90.00
Space group P2_1/c (No. 14)
Symmetry-distinct sites (fractional):
Ca: 0.2132 0.1183 0.2525 [4 per cell]
P: 0.1364 0.6101 0.0671 [4 per cell]
S: 0.0868 0.1905 0.9353 [4 per cell]
S: 0.2796 0.6963 0.9528 [4 per cell]
S: 0.3864 0.0067 0.7652 [4 per cell]

***

# 8
Below is a crystal of CaSbPS2 relaxed with PBEsol, with properties calculated at the meta-GGA SCAN level.

Formation energy (no corrections)   11.7 kcal/mol of atoms
Size of the total moment   0.00 μB per formula unit
Fermi-level density of states   1.019 states/eV per atom
Volume   25.63 Å³ per atom

Lattice parameters (Å, degrees): 5.0093 5.0093 5.1071 90.00 90.00 90.00
Space group P4/mmm (No. 123)
Symmetry-distinct sites (fractional):
Ca: 0.0000 0.0000 0.0000 [1 per cell]
Sb: 0.5000 0.5000 0.5000 [1 per cell]
P: 0.0000 0.0000 0.5000 [1 per cell]
S: 0.0000 0.5000 0.0000 [2 per cell]

***

# 9
Below is a crystal of CaTeP2S relaxed with PBEsol, with properties calculated at the meta-GGA SCAN level.

Formation energy (no corrections)   20.6 kcal/mol of atoms
Size of the total moment   0.24 μB per formula unit
Fermi-level density of states   1.084 states/eV per atom
Volume   26.37 Å³ per atom

Lattice parameters (Å, degrees): 5.2003 5.2003 4.8762 90.00 90.00 90.00
Space group P4/mmm (No. 123)
Symmetry-distinct sites (fractional):
Ca: 0.0000 0.0000 0.0000 [1 per cell]
Te: 0.5000 0.5000 0.5000 [1 per cell]
P: 0.0000 0.5000 0.0000 [2 per cell]
S: 0.0000 0.0000 0.5000 [1 per cell]

***

# 10
Below is a crystal of CaYP2S relaxed with PBEsol, with properties calculated at the meta-GGA SCAN level.

Formation energy (no corrections)   -12.4 kcal/mol of atoms
Size of the total moment   0.00 μB per formula unit
Fermi-level density of states   1.036 states/eV per atom
Volume   27.01 Å³ per atom

Lattice parameters (Å, degrees): 5.1376 5.1376 5.1169 90.00 90.00 90.00
Space group P4/mmm (No. 123)
Symmetry-distinct sites (fractional):
Ca: 0.0000 0.0000 0.0000 [1 per cell]
Y: 0.5000 0.5000 0.5000 [1 per cell]
P: 0.0000 0.5000 0.5000 [2 per cell]
S: 0.5000 0.5000 0.0000 [1 per cell]

***

# 11
Below is a crystal of CaZnP2S relaxed with PBEsol, with properties calculated at the meta-GGA SCAN level.

Formation energy (no corrections)   30.3 kcal/mol of atoms
Size of the total moment   0.55 μB per formula unit
Fermi-level density of states   0.678 states/eV per atom
Volume   27.90 Å³ per atom

Lattice parameters (Å, degrees): 5.1518 5.1518 5.2552 90.00 90.00 90.00
Space group P4/mmm (No. 123)
Symmetry-distinct sites (fractional):
Ca: 0.0000 0.0000 0.0000 [1 per cell]
Zn: 0.0000 0.0000 0.5000 [1 per cell]
P: 0.0000 0.5000 0.0000 [2 per cell]
S: 0.5000 0.5000 0.5000 [1 per cell]

***

# 12
Below is a crystal of Ca2SbP relaxed with PBEsol, with properties calculated at the meta-GGA SCAN level.

Formation energy (no corrections)   -18.2 kcal/mol of atoms
Size of the total moment   0.00 μB per formula unit
Fermi-level density of states   0.455 states/eV per atom
Volume   26.21 Å³ per atom

Lattice parameters (Å, degrees): 3.3758 5.0778 6.1158 90.00 90.00 90.00
Space group Pmmm (No. 47)
Symmetry-distinct sites (fractional):
Ca: 0.0000 0.0000 0.0000 [1 per cell]
Ca: 0.5000 0.5000 0.5000 [1 per cell]
Sb: 0.0000 0.0000 0.5000 [1 per cell]
P: 0.5000 0.5000 0.0000 [1 per cell]

***

# 13
Below is a crystal of CaSb2P2 relaxed with PBEsol, with properties calculated at the meta-GGA SCAN level.

Formation energy (no corrections)   -4.3 kcal/mol of atoms
Size of the total moment   0.00 μB per formula unit
Fermi-level density of states   0.532 states/eV per atom
Volume   23.29 Å³ per atom

Lattice parameters (Å, degrees): 7.8578 7.8578 3.7718 90.00 90.00 90.00
Space group P4/mbm (No. 127)
Symmetry-distinct sites (fractional):
Ca: 0.0000 0.0000 0.0000 [2 per cell]
Sb: 0.1644 0.3356 0.5000 [4 per cell]
P: 0.1746 0.6746 0.0000 [4 per cell]

***

# 14
Below is a crystal of CaSb3P relaxed with PBEsol, with properties calculated at the meta-GGA SCAN level.

Formation energy (no corrections)   28.6 kcal/mol of atoms
Size of the total moment   0.00 μB per formula unit
Fermi-level density of states   0.865 states/eV per atom
Volume   33.79 Å³ per atom

Lattice parameters (Å, degrees): 5.5282 5.5282 5.5282 90.00 90.00 90.00
Space group Pm-3m (No. 221)
Symmetry-distinct sites (fractional):
Ca: 0.0000 0.0000 0.0000 [1 per cell]
Sb: 0.0000 0.0000 0.5000 [3 per cell]
P: 0.5000 0.5000 0.5000 [1 per cell]

***

# 15
Below is a crystal of CaScP4 relaxed with PBEsol, with properties calculated at the meta-GGA SCAN level.

Size of the total moment   0.00 μB per formula unit
Fermi-level density of states   0.550 states/eV per atom
Volume   16.87 Å³ per atom
Formation energy from the elements   -14 kJ per mole of atoms

Lattice parameters (Å, degrees): 7.3984 7.3984 7.3984 90.00 90.00 90.00
Space group F-43m (No. 216)
Symmetry-distinct sites (fractional):
Ca: 0.0000 0.0000 0.0000 [4 per cell]
Sc: 0.2500 0.2500 0.2500 [4 per cell]
P: 0.1223 0.1223 0.6223 [16 per cell]

***

# 16
Below is a crystal of CaP4Se relaxed with PBEsol, with properties calculated at the meta-GGA SCAN level.

Formation energy (no corrections)   -4.1 kcal/mol of atoms
Size of the total moment   0.00 μB per formula unit
Volume   19.81 Å³ per atom

Lattice parameters (Å, degrees): 7.8045 7.8045 7.8045 90.00 90.00 90.00
Space group F-43m (No. 216)
Symmetry-distinct sites (fractional):
Ca: 0.0000 0.0000 0.0000 [4 per cell]
P: 0.1010 0.1010 0.3990 [16 per cell]
Se: 0.2500 0.2500 0.7500 [4 per cell]

***

# 17
Below is a crystal of CaSiTc2P relaxed with PBEsol, with properties calculated at the meta-GGA SCAN level.

Formation energy (no corrections)   10.1 kcal/mol of atoms
Size of the total moment   2.06 μB per formula unit
Fermi-level density of states   0.839 states/eV per atom
Volume   18.27 Å³ per atom

Lattice parameters (Å, degrees): 4.4082 4.4082 4.7009 90.00 90.00 90.00
Space group P4/mmm (No. 123)
Symmetry-distinct sites (fractional):
Ca: 0.0000 0.0000 0.0000 [1 per cell]
Si: 0.5000 0.5000 0.0000 [1 per cell]
Tc: 0.0000 0.5000 0.5000 [2 per cell]
P: 0.5000 0.5000 0.5000 [1 per cell]

***

# 18
Below is a crystal of Sr3CaP relaxed with PBEsol, with properties calculated at the meta-GGA SCAN level.

Size of the total moment   3.00 μB per formula unit
Offset from the most stable computed form   1.540 eV per atom
Fermi-level density of states   0.590 states/eV per atom
Volume   46.01 Å³ per atom
Formation energy from the elements   97 kJ per mole of atoms

Lattice parameters (Å, degrees): 6.1271 6.1271 6.1271 90.00 90.00 90.00
Space group Pm-3m (No. 221)
Symmetry-distinct sites (fractional):
Sr: 0.0000 0.0000 0.5000 [3 per cell]
Ca: 0.0000 0.0000 0.0000 [1 per cell]
P: 0.5000 0.5000 0.5000 [1 per cell]

***

# 19
Below is a crystal of Sr2CaP relaxed with PBEsol, with properties calculated at the meta-GGA SCAN level.

Size of the total moment   0.80 μB per formula unit
Fermi-level density of states   0.342 states/eV per atom
Volume   34.83 Å³ per atom
Formation energy from the elements   -56 kJ per mole of atoms

Lattice parameters (Å, degrees): 3.7595 3.7595 9.8579 90.00 90.00 90.00
Space group P4mm (No. 99)
Symmetry-distinct sites (fractional):
Sr: 0.0000 0.0000 0.0000 [1 per cell]
Sr: 0.5000 0.5000 0.3615 [1 per cell]
Ca: 0.0000 0.0000 0.6922 [1 per cell]
P: 0.5000 0.5000 0.8293 [1 per cell]

***

# 20
Below is a crystal of SrCa3P relaxed with PBEsol, with properties calculated at the meta-GGA SCAN level.

Size of the total moment   1.05 μB per formula unit
Fermi-level density of states   0.571 states/eV per atom
Volume   36.41 Å³ per atom
Formation energy from the elements   -51 kJ per mole of atoms

Lattice parameters (Å, degrees): 5.6677 5.6677 5.6677 90.00 90.00 90.00
Space group Pm-3m (No. 221)
Symmetry-distinct sites (fractional):
Sr: 0.0000 0.0000 0.0000 [1 per cell]
Ca: 0.0000 0.5000 0.5000 [3 per cell]
P: 0.5000 0.5000 0.5000 [1 per cell]

***

# 21
Below is a crystal of Sr3CaP relaxed with PBEsol, with properties calculated at the meta-GGA SCAN level.

Size of the total moment   1.26 μB per formula unit
Offset from the most stable computed form   0.000 eV per atom
Fermi-level density of states   0.609 states/eV per atom
Volume   42.25 Å³ per atom
Formation energy from the elements   -52 kJ per mole of atoms

Lattice parameters (Å, degrees): 5.9558 5.9558 5.9558 90.00 90.00 90.00
Space group Pm-3m (No. 221)
Symmetry-distinct sites (fractional):
Sr: 0.0000 0.0000 0.5000 [3 per cell]
Ca: 0.5000 0.5000 0.5000 [1 per cell]
P: 0.0000 0.0000 0.0000 [1 per cell]

***

# 22
Below is a crystal of Sr2CaP relaxed with PBEsol, with properties calculated at the meta-GGA SCAN level.

Size of the total moment   0.23 μB per formula unit
Fermi-level density of states   0.736 states/eV per atom
Volume   41.83 Å³ per atom
Formation energy from the elements   -65 kJ per mole of atoms

Lattice parameters (Å, degrees): 7.4376 4.2894 10.7714 90.00 103.14 90.00
Space group C2/m (No. 12)
Symmetry-distinct sites (fractional):
Sr: 0.2168 0.0000 0.1520 [4 per cell]
Ca: 0.0000 0.0000 0.5000 [2 per cell]
P: 0.0000 0.5000 0.0000 [2 per cell]

***

# 23
Below is a crystal of SrCa2P2 relaxed with PBEsol, with properties calculated at the meta-GGA SCAN level.

Size of the total moment   0.00 μB per formula unit
Fermi-level density of states   0.105 states/eV per atom
Volume   24.94 Å³ per atom
Formation energy from the elements   -102 kJ per mole of atoms

Lattice parameters (Å, degrees): 8.0859 8.0859 3.8140 90.00 90.00 90.00
Space group P4/mbm (No. 127)
Symmetry-distinct sites (fractional):
Sr: 0.0000 0.0000 0.0000 [2 per cell]
Ca: 0.1362 0.3638 0.5000 [4 per cell]
P: 0.1668 0.6668 0.0000 [4 per cell]

***

# 24
Below is a crystal of Sr2CaZrP relaxed with PBEsol, with properties calculated at the meta-GGA SCAN level.

Size of the total moment   0.59 μB per formula unit
Fermi-level density of states   0.722 states/eV per atom
Volume   38.18 Å³ per atom
Formation energy from the elements   28 kJ per mole of atoms

Lattice parameters (Å, degrees): 6.2043 6.2043 4.9597 90.00 90.00 90.00
Space group P4/mmm (No. 123)
Symmetry-distinct sites (fractional):
Sr: 0.0000 0.5000 0.0000 [2 per cell]
Ca: 0.0000 0.0000 0.5000 [1 per cell]
Zr: 0.5000 0.5000 0.0000 [1 per cell]
P: 0.5000 0.5000 0.5000 [1 per cell]

***

# 25
Below is a crystal of Ca2TaP relaxed with PBEsol, with properties calculated at the meta-GGA SCAN level.

Size of the total moment   0.00 μB per formula unit
Fermi-level density of states   1.005 states/eV per atom
Volume   21.21 Å³ per atom
Formation energy from the elements   8 kJ per mole of atoms

Lattice parameters (Å, degrees): 3.0317 3.0317 9.2286 90.00 90.00 90.00
Space group P4/mmm (No. 123)
Symmetry-distinct sites (fractional):
Ca: 0.0000 0.0000 0.2170 [2 per cell]
Ta: 0.5000 0.5000 0.5000 [1 per cell]
P: 0.5000 0.5000 0.0000 [1 per cell]

***

# 26
Below is a crystal of Ca2TcP relaxed with PBEsol, with properties calculated at the meta-GGA SCAN level.

Size of the total moment   0.07 μB per formula unit
Fermi-level density of states   0.483 states/eV per atom
Volume   21.43 Å³ per atom
Formation energy from the elements   -35 kJ per mole of atoms

Lattice parameters (Å, degrees): 3.2071 3.2071 8.3327 90.00 90.00 90.00
Space group P4mm (No. 99)
Symmetry-distinct sites (fractional):
Ca: 0.0000 0.0000 0.0000 [1 per cell]
Ca: 0.5000 0.5000 0.3999 [1 per cell]
Tc: 0.5000 0.5000 0.7460 [1 per cell]
P: 0.0000 0.0000 0.6353 [1 per cell]